{
  "formula": "InCu4Ag",
  "functional": "meta-GGA SCAN",
  "state": "single point on PBEsol structure",
  "rho_g_cm3": 9.55,
  "space_group": "F-43m (216)",
  "dos_at_fermi_per_ev_atom": 0.291,
  "vol_a3_per_cell": 82.92,
  "formation_enthalpy_0k_mev_per_atom": 21,
  "total_energy_ev_per_atom": -20.905,
  "lattice_angstrom": [[4.8946, 0.0000, 0.0000], [2.4473, 4.2389, 0.0000], [2.4473, 1.4130, 3.9965]],
  "species": ["Ag", "Cu", "Cu", "Cu", "Cu", "In"],
  "frac_coords": [[0.0000, 0.0000, 0.0000], [0.6252, 0.6252, 0.1244], [0.1244, 0.6252, 0.6252], [0.6252, 0.1244, 0.6252], [0.6252, 0.6252, 0.6252], [0.2500, 0.2500, 0.2500]]
}

{
  "formula": "ZrC",
  "functional": "meta-GGA SCAN",
  "state": "single point on PBEsol structure",
  "rho_g_cm3": 7.08,
  "space_group": "Pm-3m (221)",
  "e_above_lowest_polymorph_kj_per_mol_fu": 254,
  "dos_at_fermi_per_ev_atom": 1.015,
  "vol_a3_per_cell": 24.22,
  "formation_enthalpy_0k_mev_per_atom": 327,
  "total_energy_ev_per_atom": -20.073,
  "lattice_angstrom": [[-2.4163, -0.1799, -1.5815], [1.5014, -1.2121, -2.1561], [-0.5284, -2.6212, 1.1056]],
  "species": ["C", "Zr"],
  "frac_coords": [[0.5000, 0.5000, 0.5000], [0.0000, 0.0000, 0.0000]]
}

{
  "formula": "AlTcBi3",
  "functional": "meta-GGA SCAN",
  "state": "single point on PBEsol structure",
  "rho_g_cm3": 8.63,
  "space_group": "Pm-3m (221)",
  "dos_at_fermi_per_ev_atom": 0.803,
  "vol_a3_per_cell": 144.66,
  "formation_enthalpy_0k_mev_per_atom": 774,
  "total_energy_ev_per_atom": -54.936,
  "lattice_angstrom": [[5.2495, 0.0000, 0.0000], [0.0000, 5.2495, 0.0000], [0.0000, 0.0000, 5.2495]],
  "species": ["Al", "Bi", "Bi", "Bi", "Tc"],
  "frac_coords": [[0.5000, 0.5000, 0.5000], [0.0000, 0.5000, 0.0000], [0.0000, 0.0000, 0.5000], [0.5000, 0.0000, 0.0000], [0.0000, 0.0000, 0.0000]]
}

{
  "formula": "InAg2",
  "functional": "meta-GGA SCAN",
  "state": "single point on PBEsol structure",
  "rho_g_cm3": 10.03,
  "space_group": "P-3m1 (164)",
  "dos_at_fermi_per_ev_atom": 0.229,
  "vol_a3_per_cell": 54.75,
  "formation_enthalpy_0k_mev_per_atom": 21,
  "total_energy_ev_per_atom": -32.019,
  "lattice_angstrom": [[2.9202, 0.0000, 0.0000], [0.0000, 4.6528, 0.0000], [0.0000, -2.3264, 4.0294]],
  "species": ["Ag", "Ag", "In"],
  "frac_coords": [[0.1887, 0.3333, 0.6667], [0.8113, 0.6667, 0.3333], [0.5000, 0.0000, 0.0000]]
}

{
  "formula": "FeB3Rh6",
  "functional": "meta-GGA SCAN",
  "state": "single point on PBEsol structure",
  "rho_g_cm3": 10.56,
  "space_group": "Cm (8)",
  "dos_at_fermi_per_ev_atom": 0.761,
  "vol_a3_per_cell": 221.99,
  "formation_enthalpy_0k_mev_per_atom": -330,
  "total_energy_ev_per_atom": -24.634,
  "lattice_angstrom": [[-1.7867, 4.0384, 1.5367], [-6.8076, -2.5099, -1.4261], [-3.7230, -3.6762, 5.2251]],
  "species": ["Fe", "Fe", "B", "B", "B", "B", "B", "B", "Rh", "Rh", "Rh", "Rh", "Rh", "Rh", "Rh", "Rh", "Rh", "Rh", "Rh", "Rh"],
  "frac_coords": [[0.9551, 0.5511, 0.9065], [0.9551, 0.9065, 0.5511], [0.2293, 0.3730, 0.8185], [0.2309, 0.8140, 0.8140], [0.2293, 0.8185, 0.3730], [0.7233, 0.6197, 0.1877], [0.7151, 0.1898, 0.1898], [0.7233, 0.1877, 0.6197], [0.6432, 0.2508, 0.8750], [0.6534, 0.8713, 0.8713], [0.6432, 0.8750, 0.2508], [0.1351, 0.7487, 0.1227], [0.1268, 0.1284, 0.1284], [0.1351, 0.1227, 0.7487], [0.4656, 0.6665, 0.6665], [0.9511, 0.3323, 0.3323], [0.4710, 0.4567, 0.4567], [0.4570, 0.4606, 0.0766], [0.4570, 0.0766, 0.4606], [0.9756, 0.5507, 0.5507]]
}

{
  "formula": "SrPCl2",
  "functional": "meta-GGA SCAN",
  "state": "single point on PBEsol structure",
  "rho_g_cm3": 3.27,
  "space_group": "F-43m (216)",
  "e_above_lowest_polymorph_kj_per_mol_fu": 89,
  "vol_a3_per_cell": 96.12,
  "total_energy_ev_per_atom": -13.029,
  "raw_formation_energy_mev_per_atom": -871,
  "lattice_angstrom": [[-3.4691, -0.2734, -3.7852], [0.1633, -3.8876, -3.3610], [-3.6317, -3.6384, 0.0991]],
  "species": ["Cl", "Cl", "P", "Sr"],
  "frac_coords": [[0.0000, 0.0000, 0.0000], [0.7500, 0.7500, 0.7500], [0.5000, 0.5000, 0.5000], [0.2500, 0.2500, 0.2500]]
}

{
  "formula": "Tl2Cd",
  "functional": "meta-GGA SCAN",
  "state": "single point on PBEsol structure",
  "rho_g_cm3": 11.01,
  "space_group": "Cm (8)",
  "e_above_lowest_polymorph_kj_per_mol_fu": 6,
  "dos_at_fermi_per_ev_atom": 0.420,
  "vol_a3_per_cell": 157.25,
  "formation_enthalpy_0k_mev_per_atom": 55,
  "total_energy_ev_per_atom": -58.322,
  "lattice_angstrom": [[-0.1799, -3.2478, 0.5226], [0.9450, 0.6291, -6.1493], [7.4746, 0.1589, 3.5603]],
  "species": ["Cd", "Cd", "Tl", "Tl", "Tl", "Tl"],
  "frac_coords": [[0.9884, 0.9768, 0.0281], [0.6519, 0.3038, 0.3046], [0.3663, 0.7325, 0.6900], [0.3726, 0.7451, 0.2866], [0.0829, 0.1657, 0.5859], [0.7047, 0.4094, 0.9381]]
}

{
  "formula": "Li4BrCl",
  "functional": "meta-GGA SCAN",
  "state": "single point on PBEsol structure",
  "rho_g_cm3": 2.00,
  "space_group": "F-43m (216)",
  "dos_at_fermi_per_ev_atom": 0.043,
  "vol_a3_per_cell": 118.77,
  "total_energy_ev_per_atom": -6.788,
  "raw_formation_energy_mev_per_atom": -622,
  "lattice_angstrom": [[5.5174, 0.0000, 0.0000], [2.7587, 4.7782, 0.0000], [2.7587, 1.5927, 4.5049]],
  "species": ["Br", "Cl", "Li", "Li", "Li", "Li"],
  "frac_coords": [[0.7500, 0.7500, 0.7500], [0.0000, 0.0000, 0.0000], [0.3752, 0.3752, 0.3752], [0.3752, 0.3752, 0.8744], [0.8744, 0.3752, 0.3752], [0.3752, 0.8744, 0.3752]]
}